(1)
Below is an optimized crystal structure of MgCuBi2, with properties calculated at the PBE-GGA level.

Formation energy from the elements in kJ per mole of atoms: 19.7
Final energy in eV per atom: -3.159
Fermi-level density of states in states/eV per cell: 1.280
Total magnetic moment in μB per cell: 0.000

Cell lengths 3.445, 3.445, 10.499 Å; angles 80.56, 80.56, 60.00 degrees
Fractional positions:
Mg  0.000  0.000  0.000
Bi  0.100  0.100  0.701
Bi  0.900  0.900  0.299
Cu  0.500  0.500  0.500

(2)
Below is an optimized crystal structure of Mg2CuBi, with properties calculated at the PBE-GGA level.

Formation energy from the elements in kJ per mole of atoms: 16.7
Final energy in eV per atom: -2.619
Fermi-level density of states in states/eV per cell: 3.535
Total magnetic moment in μB per cell: 0.000

Cell lengths 4.346, 4.346, 10.282 Å; angles 77.80, 77.80, 90.00 degrees
Fractional positions:
Mg  0.595  0.125  0.250
Mg  0.155  0.625  0.250
Mg  0.375  0.405  0.750
Mg  0.875  0.845  0.750
Bi  0.000  0.000  0.000
Bi  0.750  0.250  0.500
Cu  0.500  0.500  0.000
Cu  0.250  0.750  0.500

(3)
Below is an optimized crystal structure of Mg2Cu2Bi, with properties calculated at the PBE-GGA level.

Formation energy from the elements in kJ per mole of atoms: 1.2
Final energy in eV per atom: -3.040
Fermi-level density of states in states/eV per cell: 1.198
Total magnetic moment in μB per cell: 0.000

Cell lengths 3.440, 3.440, 9.127 Å; angles 79.14, 79.14, 90.00 degrees
Fractional positions:
Mg  0.371  0.371  0.259
Mg  0.629  0.629  0.741
Bi  0.000  0.000  0.000
Cu  0.750  0.250  0.500
Cu  0.250  0.750  0.500

(4)
Below is an optimized crystal structure of MgCu2Bi2, with properties calculated at the PBE-GGA level.

Formation energy from the elements in kJ per mole of atoms: 22.5
Final energy in eV per atom: -3.277
Fermi-level density of states in states/eV per cell: 5.303
Total magnetic moment in μB per cell: 0.000

Cell lengths 8.086, 8.086, 3.471 Å; angles 90.00, 90.00, 90.00 degrees
Fractional positions:
Mg  0.000  0.000  0.000
Mg  0.500  0.500  0.000
Bi  0.322  0.822  0.000
Bi  0.822  0.678  0.000
Bi  0.678  0.178  0.000
Bi  0.178  0.322  0.000
Cu  0.111  0.611  0.500
Cu  0.611  0.889  0.500
Cu  0.889  0.389  0.500
Cu  0.389  0.111  0.500